Record 1
DFT (GGA-PBEsol) results for crystalline Mg2Al5Cu6 at its relaxed geometry.

Energy relative to the elements: -0.244 eV per atom

abc: 8.166 8.166 8.166
angles: 90.00 90.00 90.00
Positions (direct):
Mg 0.000 0.178 0.500
Mg 0.000 0.822 0.500
Mg 0.178 0.500 0.000
Mg 0.500 0.000 0.178
Mg 0.500 0.000 0.822
Mg 0.822 0.500 0.000
Al 0.000 0.000 0.000
Al 0.000 0.500 0.334
Al 0.000 0.500 0.666
Al 0.282 0.282 0.282
Al 0.282 0.282 0.718
Al 0.282 0.718 0.282
Al 0.282 0.718 0.718
Al 0.334 0.000 0.500
Al 0.500 0.334 0.000
Al 0.500 0.666 0.000
Al 0.666 0.000 0.500
Al 0.718 0.282 0.282
Al 0.718 0.282 0.718
Al 0.718 0.718 0.282
Al 0.718 0.718 0.718
Cu 0.000 0.255 0.164
Cu 0.000 0.255 0.836
Cu 0.000 0.745 0.164
Cu 0.000 0.745 0.836
Cu 0.164 0.000 0.255
Cu 0.164 0.000 0.745
Cu 0.255 0.164 0.000
Cu 0.255 0.836 0.000
Cu 0.273 0.500 0.500
Cu 0.500 0.273 0.500
Cu 0.500 0.500 0.273
Cu 0.500 0.500 0.727
Cu 0.500 0.727 0.500
Cu 0.727 0.500 0.500
Cu 0.745 0.164 0.000
Cu 0.745 0.836 0.000
Cu 0.836 0.000 0.255
Cu 0.836 0.000 0.745

Record 2
DFT (GGA-PBEsol) results for crystalline MgAlCu at its relaxed geometry.

Energy relative to the elements: -0.185 eV per atom

abc: 5.111 5.197 6.962
angles: 90.00 90.00 90.00
Positions (direct):
Mg 0.000 0.250 0.118
Mg 0.000 0.750 0.882
Mg 0.500 0.250 0.382
Mg 0.500 0.750 0.618
Al 0.000 0.000 0.500
Al 0.000 0.500 0.500
Al 0.500 0.000 0.000
Al 0.500 0.500 0.000
Cu 0.250 0.250 0.750
Cu 0.250 0.750 0.250
Cu 0.750 0.250 0.750
Cu 0.750 0.750 0.250

Record 3
DFT (GGA-PBEsol) results for crystalline MgAlCu at its relaxed geometry.

Energy relative to the elements: -0.103 eV per atom

abc: 12.608 12.608 12.608
angles: 23.63 23.63 23.63
Positions (direct):
Mg 0.038 0.038 0.038
Mg 0.181 0.181 0.181
Mg 0.270 0.270 0.270
Mg 0.730 0.730 0.730
Mg 0.819 0.819 0.819
Mg 0.962 0.962 0.962
Al 0.223 0.724 0.724
Al 0.276 0.276 0.777
Al 0.276 0.777 0.276
Al 0.724 0.223 0.724
Al 0.724 0.724 0.223
Al 0.777 0.276 0.276
Cu 0.000 0.500 0.500
Cu 0.388 0.388 0.388
Cu 0.500 0.000 0.500
Cu 0.500 0.500 0.000
Cu 0.500 0.500 0.500
Cu 0.612 0.612 0.612

Record 4
DFT (GGA-PBEsol) results for crystalline Mg2AlCu at its relaxed geometry.

Energy relative to the elements: 0.087 eV per atom

abc: 2.976 2.976 26.961
angles: 90.00 90.00 120.00
Positions (direct):
Mg 0.000 0.000 0.243
Mg 0.000 0.000 0.757
Mg 0.333 0.667 0.423
Mg 0.333 0.667 0.910
Mg 0.667 0.333 0.090
Mg 0.667 0.333 0.577
Al 0.000 0.000 0.000
Al 0.333 0.667 0.667
Al 0.667 0.333 0.333
Cu 0.000 0.000 0.500
Cu 0.333 0.667 0.167
Cu 0.667 0.333 0.833

Record 5
DFT (GGA-PBEsol) results for crystalline MgAl2Cu at its relaxed geometry.

Energy relative to the elements: -0.084 eV per atom

abc: 2.848 2.848 7.773
angles: 90.00 90.00 90.00
Positions (direct):
Mg 0.000 0.000 0.000
Al 0.500 0.500 0.290
Al 0.500 0.500 0.710
Cu 0.000 0.000 0.500

Record 6
DFT (GGA-PBEsol) results for crystalline MgAlCu at its relaxed geometry.

Energy relative to the elements: -0.084 eV per atom

abc: 2.929 2.929 10.853
angles: 90.00 90.00 90.00
Positions (direct):
Mg 0.000 0.000 0.000
Mg 0.500 0.500 0.500
Al 0.000 0.000 0.703
Al 0.500 0.500 0.203
Cu 0.000 0.000 0.336
Cu 0.500 0.500 0.836

Record 7
DFT (GGA-PBEsol) results for crystalline Mg4AlCu at its relaxed geometry.

Energy relative to the elements: 0.356 eV per atom

abc: 5.539 5.539 5.539
angles: 60.00 60.00 60.00
Positions (direct):
Mg 0.125 0.125 0.125
Mg 0.125 0.125 0.625
Mg 0.125 0.625 0.125
Mg 0.625 0.125 0.125
Al 0.750 0.750 0.750
Cu 0.500 0.500 0.500

Record 8
DFT (GGA-PBEsol) results for crystalline MgAl2Cu at its relaxed geometry.

Energy relative to the elements: -0.002 eV per atom

abc: 4.009 4.009 7.816
angles: 90.00 90.00 90.00
Positions (direct):
Mg 0.000 0.000 0.000
Mg 0.500 0.500 0.500
Al 0.000 0.000 0.500
Al 0.000 0.500 0.750
Al 0.500 0.000 0.250
Al 0.500 0.500 0.000
Cu 0.000 0.500 0.250
Cu 0.500 0.000 0.750

Record 9
DFT (GGA-PBEsol) results for crystalline MgAl2Cu at its relaxed geometry.

Energy relative to the elements: -0.009 eV per atom

abc: 2.979 3.723 5.699
angles: 90.00 90.00 90.00
Positions (direct):
Mg 0.000 0.000 0.000
Al 0.000 0.000 0.522
Al 0.500 0.500 0.279
Cu 0.500 0.500 0.736

Record 10
DFT (GGA-PBEsol) results for crystalline Mg2AlCu at its relaxed geometry.

Energy relative to the elements: -0.044 eV per atom

abc: 3.080 3.080 7.260
angles: 90.00 90.00 90.00
Positions (direct):
Mg 0.000 0.000 0.000
Mg 0.500 0.500 0.316
Al 0.000 0.000 0.591
Cu 0.500 0.500 0.767

Record 11
DFT (GGA-PBEsol) results for crystalline MgAl2Cu at its relaxed geometry.

Energy relative to the elements: -0.182 eV per atom

abc: 3.963 9.210 7.062
angles: 90.00 90.00 90.00
Positions (direct):
Mg 0.000 0.064 0.250
Mg 0.000 0.936 0.750
Mg 0.500 0.436 0.750
Mg 0.500 0.564 0.250
Al 0.000 0.355 0.055
Al 0.000 0.355 0.445
Al 0.000 0.645 0.555
Al 0.000 0.645 0.945
Al 0.500 0.145 0.555
Al 0.500 0.145 0.945
Al 0.500 0.855 0.055
Al 0.500 0.855 0.445
Cu 0.000 0.220 0.750
Cu 0.000 0.780 0.250
Cu 0.500 0.280 0.250
Cu 0.500 0.720 0.750

Record 12
DFT (GGA-PBEsol) results for crystalline Mg4Al9CuSi9O36 at its relaxed geometry.

E: -7.71 eV/atom

abc: 9.751 9.443 9.780
angles: 90.00 119.50 90.00
Positions (direct):
Mg 0.158 0.000 0.320
Mg 0.160 0.498 0.323
Mg 0.840 0.498 0.677
Mg 0.842 0.000 0.680
Al 0.000 0.002 0.000
Al 0.000 0.005 0.500
Al 0.000 0.495 0.500
Al 0.148 0.750 0.899
Al 0.242 0.250 0.108
Al 0.500 0.501 0.500
Al 0.500 0.998 0.500
Al 0.758 0.250 0.892
Al 0.852 0.750 0.101
Cu 0.500 0.748 0.000
Si 0.000 0.499 0.000
Si 0.128 0.250 0.733
Si 0.225 0.748 0.607
Si 0.384 0.251 0.613
Si 0.405 0.749 0.272
Si 0.595 0.749 0.728
Si 0.616 0.251 0.387
Si 0.775 0.748 0.393
Si 0.872 0.250 0.267
O 0.016 0.110 0.655
O 0.016 0.391 0.656
O 0.025 0.893 0.867
O 0.034 0.597 0.882
O 0.141 0.609 0.497
O 0.146 0.403 0.129
O 0.146 0.892 0.505
O 0.153 0.105 0.141
O 0.210 0.251 0.918
O 0.219 0.741 0.767
O 0.253 0.252 0.668
O 0.337 0.749 0.080
O 0.352 0.393 0.500
O 0.357 0.106 0.508
O 0.360 0.607 0.339
O 0.362 0.891 0.341
O 0.405 0.746 0.645
O 0.440 0.260 0.246
O 0.560 0.260 0.754
O 0.595 0.746 0.355
O 0.638 0.891 0.659
O 0.640 0.607 0.661
O 0.643 0.106 0.492
O 0.648 0.393 0.500
O 0.663 0.749 0.920
O 0.747 0.252 0.332
O 0.781 0.741 0.233
O 0.790 0.251 0.082
O 0.847 0.105 0.859
O 0.854 0.403 0.871
O 0.854 0.892 0.495
O 0.859 0.609 0.503
O 0.966 0.597 0.118
O 0.975 0.893 0.133
O 0.984 0.110 0.345
O 0.984 0.391 0.344

Repeat the twelfth record exactly.
DFT (GGA-PBEsol) results for crystalline Mg4Al9CuSi9O36 at its relaxed geometry.

E: -7.71 eV/atom

abc: 9.751 9.443 9.780
angles: 90.00 119.50 90.00
Positions (direct):
Mg 0.158 0.000 0.320
Mg 0.160 0.498 0.323
Mg 0.840 0.498 0.677
Mg 0.842 0.000 0.680
Al 0.000 0.002 0.000
Al 0.000 0.005 0.500
Al 0.000 0.495 0.500
Al 0.148 0.750 0.899
Al 0.242 0.250 0.108
Al 0.500 0.501 0.500
Al 0.500 0.998 0.500
Al 0.758 0.250 0.892
Al 0.852 0.750 0.101
Cu 0.500 0.748 0.000
Si 0.000 0.499 0.000
Si 0.128 0.250 0.733
Si 0.225 0.748 0.607
Si 0.384 0.251 0.613
Si 0.405 0.749 0.272
Si 0.595 0.749 0.728
Si 0.616 0.251 0.387
Si 0.775 0.748 0.393
Si 0.872 0.250 0.267
O 0.016 0.110 0.655
O 0.016 0.391 0.656
O 0.025 0.893 0.867
O 0.034 0.597 0.882
O 0.141 0.609 0.497
O 0.146 0.403 0.129
O 0.146 0.892 0.505
O 0.153 0.105 0.141
O 0.210 0.251 0.918
O 0.219 0.741 0.767
O 0.253 0.252 0.668
O 0.337 0.749 0.080
O 0.352 0.393 0.500
O 0.357 0.106 0.508
O 0.360 0.607 0.339
O 0.362 0.891 0.341
O 0.405 0.746 0.645
O 0.440 0.260 0.246
O 0.560 0.260 0.754
O 0.595 0.746 0.355
O 0.638 0.891 0.659
O 0.640 0.607 0.661
O 0.643 0.106 0.492
O 0.648 0.393 0.500
O 0.663 0.749 0.920
O 0.747 0.252 0.332
O 0.781 0.741 0.233
O 0.790 0.251 0.082
O 0.847 0.105 0.859
O 0.854 0.403 0.871
O 0.854 0.892 0.495
O 0.859 0.609 0.503
O 0.966 0.597 0.118
O 0.975 0.893 0.133
O 0.984 0.110 0.345
O 0.984 0.391 0.344

What did the sixth record say?
DFT (GGA-PBEsol) results for crystalline MgAlCu at its relaxed geometry.

Energy relative to the elements: -0.084 eV per atom

abc: 2.929 2.929 10.853
angles: 90.00 90.00 90.00
Positions (direct):
Mg 0.000 0.000 0.000
Mg 0.500 0.500 0.500
Al 0.000 0.000 0.703
Al 0.500 0.500 0.203
Cu 0.000 0.000 0.336
Cu 0.500 0.500 0.836